(1)
Entry from Alexandria: a geometry-optimized NdSm2Pt structure (PBE).

Cell lengths 3.9068, 6.4479, 9.7704 Å; angles 90.00, 90.00, 107.64 degrees
Positions (direct):
1 Sm 0.1376 0.2755 0.4363
2 Sm 0.8624 0.7245 0.9363
3 Sm 0.8624 0.7245 0.5637
4 Sm 0.1376 0.2755 0.0637
5 Pt 0.2668 0.5332 0.7500
6 Pt 0.7332 0.4668 0.2500
7 Nd 0.4267 0.8535 0.2500
8 Nd 0.5733 0.1465 0.7500

Results
Relative energy among the computed polymorphs in meV per atom: 0
E_form in kcal/mol of atoms: -14.1
Space group: No. 63
Size of the total moment in μB/f.u.: 0.000
Calculated volume in Å³/atom: 29.3
Uncorrected energy in eV per atom: -5.674



(2)
Entry from Alexandria: a geometry-optimized CsSb6S12 structure (PBE).

Cell lengths 8.0652, 8.0652, 8.0652 Å; angles 104.03, 104.03, 104.03 degrees
Positions (direct):
1 S 0.4400 0.1605 0.4400
2 S 0.1208 0.5000 0.8792
3 S 0.8792 0.1208 0.5000
4 S 0.1208 0.8792 0.5000
5 S 0.8792 0.5000 0.1208
6 S 0.8395 0.5600 0.5600
7 S 0.1605 0.4400 0.4400
8 S 0.5600 0.5600 0.8395
9 S 0.5000 0.1208 0.8792
10 S 0.4400 0.4400 0.1605
11 S 0.5600 0.8395 0.5600
12 S 0.5000 0.8792 0.1208
13 Sb 0.7362 0.7362 0.3385
14 Sb 0.7362 0.3385 0.7362
15 Sb 0.3385 0.7362 0.7362
16 Sb 0.6615 0.2638 0.2638
17 Sb 0.2638 0.2638 0.6615
18 Sb 0.2638 0.6615 0.2638
19 Cs 0.0000 0.0000 0.0000

Results
Space group: No. 166
Size of the total moment in μB/f.u.: 0.000
Calculated volume in Å³/atom: 24.6
Formation energy from raw total energies in eV per atom: 0.02
Uncorrected energy in eV per atom: -3.932



- calculated volume of number 1 (NdSm2Pt)?
  29.3 Å³/atom



- Which value of size of the total moment does entry 2 give?
  0.000 μB/f.u.



- Which of these has the lowest uncorrected energy?
  NdSm2Pt